(1)
Computed, not measured: ScZn2Ag8 after structural relaxation at the GGA-PBE level of DFT.

Calculated density (Mg/m³): 8.49
Formation energy from the elements (eV per atom): 0.02

Cell and atoms, written as POSCAR:
```
ScZn2Ag8
1.0
4.674 -0.272 -0.408
-1.173 7.151 -0.375
-1.173 -3.100 6.455
Sc Zn Ag
1 2 8
direct
0.500 0.000 0.000
0.000 0.313 0.687
0.000 0.687 0.313
0.886 0.918 0.680
0.886 0.680 0.918
0.317 0.602 0.602
0.500 0.773 0.227
0.500 0.227 0.773
0.683 0.398 0.398
0.114 0.320 0.082
0.114 0.082 0.320
```

=====

(2)
Computed, not measured: Sc4ZnAg after structural relaxation at the GGA-PBE level of DFT.

Calculated density (Mg/m³): 4.07
Formation energy from the elements (eV per atom): 0.07

Cell and atoms, written as POSCAR:
```
Sc4ZnAg
1.0
4.653 0.000 0.000
2.327 4.022 0.233
2.327 0.900 7.745
Sc Zn Ag
4 1 1
direct
0.627 0.627 0.120
0.373 0.373 0.880
0.123 0.123 0.632
0.877 0.877 0.368
0.000 0.000 0.000
0.500 0.500 0.500
```

=====

(3)
Computed, not measured: Sc11Zn9Ag4 after structural relaxation at the GGA-PBE level of DFT.

Calculated density (Mg/m³): 5.45
Formation energy from the elements (eV per atom): -0.30

Cell and atoms, written as POSCAR:
```
Sc11Zn9Ag4
1.0
3.372 0.000 0.000
0.000 11.222 -4.519
0.000 0.254 12.095
Sc Zn Ag
11 9 4
direct
0.000 0.590 0.935
0.000 0.410 0.065
0.000 0.935 0.590
0.000 0.065 0.410
0.000 0.652 0.348
0.000 0.348 0.652
0.000 0.826 0.174
0.000 0.174 0.826
0.000 0.000 0.000
0.000 0.763 0.763
0.000 0.237 0.237
0.500 0.623 0.143
0.500 0.377 0.857
0.500 0.143 0.623
0.500 0.857 0.377
0.500 0.796 0.968
0.500 0.204 0.032
0.500 0.968 0.796
0.500 0.032 0.204
0.500 0.500 0.500
0.500 0.560 0.735
0.500 0.440 0.265
0.500 0.735 0.560
0.500 0.265 0.440
```